# Ga2HgTeS6 (GGA-PBE, optimized geometry)
# **ΔE_f (raw)**: -0.27 eV/atom
# **Crystal system**: monoclinic
data_Ga2HgTeS6
_chemical_formula_sum 'Ga8 Hg4 Te4 S24'
_symmetry_space_group_name_H-M 'C 1 2/c 1'
_symmetry_Int_Tables_number 15
_cell_length_a 12.9936
_cell_length_b 11.0340
_cell_length_c 7.3071
_cell_angle_alpha 90.00
_cell_angle_beta 108.61
_cell_angle_gamma 90.00
loop_
_symmetry_equiv_pos_as_xyz
'x,y,z'
'-x,-y,-z'
'-x,y,-z+1/2'
'x,-y,z+1/2'
'x+1/2,y+1/2,z'
'-x+1/2,-y+1/2,-z'
'-x+1/2,y+1/2,-z+1/2'
'x+1/2,-y+1/2,z+1/2'
loop_
_atom_site_label
_atom_site_type_symbol
_atom_site_fract_x
_atom_site_fract_y
_atom_site_fract_z
Ga1 Ga 0.2116 0.0803 0.1962
Hg1 Hg 0.0000 0.2749 0.2500
Te1 Te 0.0000 0.2564 0.7500
S1 S 0.1046 0.4008 0.6321
S2 S 0.1368 0.0407 0.4365
S3 S 0.1449 0.2791 0.1069